Record 1
Compound: AcU2AgO8
Source: Alexandria
Functional: PBE
Structure: relaxed Values from VASP.

The calculation puts the formation energy (no corrections) at -62.50 kcal/mol of atoms.

The structure in Quantum ESPRESSO input format:
```
&SYSTEM
  ibrav = 0, nat = 12, ntyp = 4
/
ATOMIC_SPECIES
Ac 227.00 Ac.upf
U 238.03 U.upf
Ag 107.87 Ag.upf
O 16.00 O.upf
CELL_PARAMETERS angstrom
-2.923 -0.493 4.797
4.659 -1.737 2.660
0.318 6.203 -2.484
ATOMIC_POSITIONS crystal
Ac 0.750 0.250 0.500
U 0.500 0.500 0.000
U 0.250 0.750 0.500
Ag 0.000 0.000 0.000
O 0.828 0.824 0.217
O 0.389 0.393 0.217
O 0.569 0.634 0.716
O 0.148 0.082 0.716
O 0.918 0.431 0.284
O 0.366 0.852 0.284
O 0.176 0.611 0.783
O 0.607 0.172 0.783
```

Record 2
Compound: Nd8Os3RhBr4
Source: Alexandria
Functional: PBE
Structure: relaxed Values from VASP.

The calculation puts the formation energy (no corrections) at -17.22 kcal/mol of atoms.

The structure in Quantum ESPRESSO input format:
```
&SYSTEM
  ibrav = 0, nat = 16, ntyp = 4
/
ATOMIC_SPECIES
Nd 144.24 Nd.upf
Os 190.23 Os.upf
Rh 102.91 Rh.upf
Br 79.90 Br.upf
CELL_PARAMETERS angstrom
8.262 0.000 0.000
0.000 9.154 0.606
-4.131 -4.138 5.848
ATOMIC_POSITIONS crystal
Nd 0.235 0.696 0.962
Nd 0.235 0.696 0.470
Nd 0.267 0.301 0.534
Nd 0.727 0.696 0.962
Nd 0.273 0.304 0.038
Nd 0.733 0.699 0.466
Nd 0.765 0.304 0.530
Nd 0.765 0.304 0.038
Os 0.500 0.500 0.000
Os 0.500 0.500 0.500
Os 0.000 0.500 0.500
Rh 0.000 0.500 0.000
Br 0.500 0.000 0.000
Br 0.500 0.000 0.500
Br 0.000 0.000 0.000
Br 0.000 0.000 0.500
```

Record 3
Compound: Ca2NpTl3O6
Source: Alexandria
Functional: PBE
Structure: relaxed Values from VASP.

The calculation puts the formation energy (no corrections) at -48.86 kcal/mol of atoms.

The structure in Quantum ESPRESSO input format:
```
&SYSTEM
  ibrav = 0, nat = 12, ntyp = 4
/
ATOMIC_SPECIES
Ca 40.08 Ca.upf
Np 237.00 Np.upf
Tl 204.38 Tl.upf
O 16.00 O.upf
CELL_PARAMETERS angstrom
6.009 0.002 -0.004
-3.002 5.206 -0.004
-1.008 -1.745 6.913
ATOMIC_POSITIONS crystal
Ca 0.333 0.667 0.000
Ca 0.667 0.333 0.000
Np 0.000 0.000 0.000
Tl 0.163 0.837 0.500
Tl 0.837 0.163 0.500
Tl 0.500 0.500 0.500
O 0.947 0.651 0.842
O 0.757 0.757 0.160
O 0.053 0.349 0.158
O 0.651 0.947 0.842
O 0.243 0.243 0.840
O 0.349 0.053 0.158
```